1.
The following is a PBE calculation of ThTiTe after structural relaxation, from Alexandria via LeMat-Bulk.

Properties
Energy relative to the elements, uncorrected in meV/atom: -351
Space group: No. 187

Lattice parameters (Å, degrees): 4.833 4.833 3.735 90.00 90.00 120.00
Fractional coordinates of all 3 atoms:
Th  0.000  0.000  0.000
Ti  0.333  0.667  0.500
Te  0.667  0.333  0.500

***

2.
The following is a PBE calculation of CaNbRhO6 after structural relaxation, from Alexandria via LeMat-Bulk.

Properties
Energy relative to the elements, uncorrected in meV/atom: -1888
Space group: No. 163

Lattice parameters (Å, degrees): 5.277 5.277 10.116 90.00 90.00 120.00
Fractional coordinates of all 18 atoms:
Ca  0.000  0.000  0.000
Ca  0.000  0.000  0.500
Nb  0.333  0.667  0.250
Nb  0.667  0.333  0.750
Rh  0.333  0.667  0.750
Rh  0.667  0.333  0.250
O  0.004  0.366  0.643
O  0.004  0.638  0.857
O  0.362  0.366  0.857
O  0.362  0.996  0.643
O  0.366  0.004  0.143
O  0.366  0.362  0.357
O  0.634  0.638  0.643
O  0.634  0.996  0.857
O  0.638  0.004  0.357
O  0.638  0.634  0.143
O  0.996  0.362  0.143
O  0.996  0.634  0.357

***

3.
The following is a PBE calculation of Pa2Ni12As7 after structural relaxation, from Alexandria via LeMat-Bulk.

Properties
ΔH_f (0 K) in eV/atom: -0.472
Space group: No. 174

Lattice parameters (Å, degrees): 9.363 9.363 3.865 90.00 90.00 120.00
Fractional coordinates of all 21 atoms:
Pa  0.000  0.000  0.000
Pa  0.333  0.667  0.500
Ni  0.050  0.288  0.500
Ni  0.111  0.720  0.000
Ni  0.238  0.950  0.500
Ni  0.280  0.390  0.000
Ni  0.385  0.184  0.000
Ni  0.555  0.432  0.500
Ni  0.568  0.123  0.500
Ni  0.610  0.889  0.000
Ni  0.712  0.762  0.500
Ni  0.799  0.615  0.000
Ni  0.816  0.201  0.000
Ni  0.877  0.445  0.500
As  0.064  0.449  0.000
As  0.264  0.225  0.500
As  0.385  0.936  0.000
As  0.551  0.615  0.000
As  0.667  0.333  0.000
As  0.775  0.039  0.500
As  0.961  0.736  0.500